[1]
## Na2GeAs (PBE-GGA)

Data for crystalline Na2GeAs at its relaxed geometry.

## Properties
SG ... C2, No. 5
Offset from the most stable computed form ... 0.0000 eV/atom
M_tot ... 0.00 Bohr magnetons per cell
N(E_F) ... 0.282 states/eV/atom
Energy relative to the elements ... -1.8 kcal/mol of atoms
Theoretical density ... 2.91 Mg/m³

```
Na2GeAs
1.0
-3.285 -2.266 -2.503
3.184 -0.137 -4.056
1.713 -2.777 4.722
As Ge Na
1 1 2
Direct
0.500 0.647 0.000
0.500 0.151 0.000
0.184 0.053 0.368
0.816 0.685 0.632
```

***

[2]
## NaGe2As2 (PBE-GGA)

Data for crystalline NaGe2As2 at its relaxed geometry.

## Properties
SG ... P4/mbm, No. 127
M_tot ... 0.00 Bohr magnetons per cell
N(E_F) ... 0.347 states/eV/atom
Energy relative to the elements ... 1.7 kcal/mol of atoms
Theoretical density ... 4.90 Mg/m³

```
NaGe2As2
1.0
7.769 0.000 0.000
0.000 7.769 0.000
0.000 0.000 3.569
Ge As Na
4 4 2
Direct
0.863 0.363 0.500
0.363 0.137 0.500
0.137 0.637 0.500
0.637 0.863 0.500
0.356 0.856 0.000
0.856 0.644 0.000
0.144 0.356 0.000
0.644 0.144 0.000
0.500 0.500 0.000
0.000 0.000 0.000
```

***

[3]
## Na2GeAsO6 (PBE-GGA)

Data for crystalline Na2GeAsO6 at its relaxed geometry.

## Properties
SG ... P4mm, No. 99
M_tot ... 0.00 Bohr magnetons per cell
N(E_F) ... 0.596 states/eV/atom
Theoretical density ... 3.86 Mg/m³
ΔE_f (raw) ... -1.340 eV per atom

```
Na2GeAsO6
1.0
5.239 0.000 0.000
0.000 4.874 0.000
0.000 0.000 4.874
As O Na Ge
1 6 2 1
Direct
0.564 0.500 0.500
0.242 0.500 0.500
0.218 0.000 0.000
0.693 0.253 0.747
0.693 0.747 0.747
0.693 0.747 0.253
0.693 0.253 0.253
0.054 0.000 0.500
0.054 0.500 0.000
0.543 0.000 0.000
```